An optimized crystal structure of Hf4Fe2AsP, computed with PBE.

Structure (CIF):
```
data_Hf4Fe2AsP
_chemical_formula_sum 'Hf4 Fe2 As1 P1'
_symmetry_space_group_name_H-M 'P 1 m 1'
_symmetry_Int_Tables_number 6
_cell_length_a 5.245
_cell_length_b 3.645
_cell_length_c 7.432
_cell_angle_alpha 90.00
_cell_angle_beta 109.31
_cell_angle_gamma 90.00
loop_
_symmetry_equiv_pos_as_xyz
'x,y,z'
'x,-y,z'
loop_
_atom_site_label
_atom_site_type_symbol
_atom_site_fract_x
_atom_site_fract_y
_atom_site_fract_z
_atom_site_occupancy
Hf1 Hf 0.000 0.000 0.000 1
Hf2 Hf 0.063 0.500 0.635 1
Hf3 Hf 0.447 0.000 0.458 1
Hf4 Hf 0.523 0.500 0.114 1
Fe1 Fe 0.121 0.500 0.273 1
Fe2 Fe 0.382 0.000 0.838 1
As1 As 0.631 0.500 0.763 1
P1 P 0.889 0.000 0.340 1
```

---

An optimized crystal structure of Cs3NbCl6, computed with PBE.

Structure (CIF):
```
data_Cs3NbCl6
_chemical_formula_sum 'Cs12 Nb4 Cl24'
_symmetry_space_group_name_H-M 'F m -3 m'
_symmetry_Int_Tables_number 225
_symmetry_space_group_name_Hall '-F 4 2 3'
_cell_length_a 11.412
_cell_length_b 11.412
_cell_length_c 11.412
_cell_angle_alpha 90.00
_cell_angle_beta 90.00
_cell_angle_gamma 90.00
loop_
_atom_site_label
_atom_site_type_symbol
_atom_site_fract_x
_atom_site_fract_y
_atom_site_fract_z
_atom_site_occupancy
Cs1 Cs 0.000 0.000 0.000 1
Cs2 Cs 0.250 0.250 0.250 1
Nb1 Nb 0.000 0.000 0.500 1
Cl1 Cl 0.000 0.000 0.281 1
```

---

An optimized crystal structure of NaNdTa, computed with PBE.

Structure (CIF):
```
data_NaNdTa
_chemical_formula_sum 'Na4 Nd4 Ta4'
_symmetry_space_group_name_H-M 'F -4 3 m'
_symmetry_Int_Tables_number 216
_symmetry_space_group_name_Hall 'F -4 2 3'
_cell_length_a 7.124
_cell_length_b 7.124
_cell_length_c 7.124
_cell_angle_alpha 90.00
_cell_angle_beta 90.00
_cell_angle_gamma 90.00
loop_
_atom_site_label
_atom_site_type_symbol
_atom_site_fract_x
_atom_site_fract_y
_atom_site_fract_z
_atom_site_occupancy
Na1 Na 0.000 0.000 0.000 1
Nd1 Nd 0.250 0.250 0.250 1
Ta1 Ta 0.000 0.000 0.500 1
```

---

# PBE ZnFePdAu, relaxed
# energy relative to the lowest polymorph listed for this composition	0.00	kJ/mol of atoms
data_ZnFePdAu
_chemical_formula_sum 'Zn4 Fe4 Pd4 Au4'
_symmetry_space_group_name_H-M 'F -4 3 m'
_symmetry_Int_Tables_number 216
_symmetry_space_group_name_Hall 'F -4 2 3'
_cell_length_a 6.228
_cell_length_b 6.228
_cell_length_c 6.228
_cell_angle_alpha 90.00
_cell_angle_beta 90.00
_cell_angle_gamma 90.00
loop_
_atom_site_label
_atom_site_type_symbol
_atom_site_fract_x
_atom_site_fract_y
_atom_site_fract_z
_atom_site_occupancy
Zn1 Zn 0.000 0.000 0.000 1
Fe1 Fe 0.250 0.250 0.250 1
Pd1 Pd 0.250 0.250 0.750 1
Au1 Au 0.000 0.000 0.500 1

---

no.,E (Ha/atom)
1,-0.3318
2,-0.1476
3,-0.1575
4,-0.1676